No. 1
A relaxed LaHoMgHg crystal, computed with PBE-GGA.

Summary:
* theoretical density: 7.78 g cm⁻³
* space group: F-43m, No. 216
* formation energy: -25 kJ per mole of atoms
* offset from the most stable computed form: 0.11 eV per formula unit

Cell lengths 5.4234, 5.4234, 5.4234 Å; angles 60.00, 60.00, 60.00 degrees
Closest atoms and distances in Å follow each position.
Positions (direct):
La: 0.0000 0.0000 0.0000  4 Hg 3.32, 4 Mg 3.32
Ho: 0.5000 0.5000 0.5000  4 Hg 3.32, 4 Mg 3.32
Mg: 0.2500 0.2500 0.2500  4 Ho 3.32, 4 La 3.32
Hg: 0.7500 0.7500 0.7500  4 La 3.32, 4 Ho 3.32


No. 2
A relaxed RuRhS2Cl crystal, computed with PBE-GGA.

Summary:
* theoretical density: 4.98 g cm⁻³
* E_form (uncorrected): 0.838 eV per atom
* space group: P4/mmm, No. 123
* offset from the most stable computed form: 0.59 eV per formula unit

Cell lengths 4.6364, 4.6364, 4.7051 Å; angles 90.00, 90.00, 90.00 degrees
Closest atoms and distances in Å follow each position.
Positions (direct):
Ru: 0.0000 0.0000 0.0000  4 Cl 3.28, 8 S 3.30
Rh: 0.5000 0.5000 0.5000  4 S 2.32, 2 Cl 2.35
S: 0.0000 0.5000 0.5000  2 Rh 2.32
S: 0.5000 0.0000 0.5000  2 Rh 2.32
Cl: 0.5000 0.5000 0.0000  2 Rh 2.35


No. 3
A relaxed Na4Cd3Sn5 crystal, computed with PBE-GGA.

Summary:
* theoretical density: 4.48 g cm⁻³
* space group: C2/m, No. 12
* formation energy: -4 kJ per mole of atoms

Cell lengths 7.2525, 7.2525, 11.4290 Å; angles 114.34, 114.34, 44.73 degrees
Closest atoms and distances in Å follow each position.
Positions (direct):
Na: 0.1228 0.1228 0.4861  7 Sn 3.28-3.66, 1 Cd 3.34, 1 Na 3.45
Na: 0.1478 0.1478 0.8327  3 Sn 3.31-3.40
Na: 0.8522 0.8522 0.1673  3 Sn 3.31-3.40
Na: 0.8772 0.8772 0.5139  7 Sn 3.28-3.66, 1 Cd 3.34, 1 Na 3.45
Cd: 0.2104 0.2104 0.2543  4 Sn 2.87-3.05
Cd: 0.5000 0.5000 0.0000  4 Sn 2.76-2.83
Cd: 0.7896 0.7896 0.7457  4 Sn 2.87-3.05
Sn: 0.0000 0.0000 0.0000  4 Cd 2.76-3.02
Sn: 0.3768 0.3768 0.7244  3 Cd 2.83-3.05, 1 Sn 2.90
Sn: 0.4486 0.4486 0.3597  1 Cd 2.87, 2 Sn 2.87-2.90
Sn: 0.5514 0.5514 0.6403  1 Cd 2.87, 2 Sn 2.87-2.90
Sn: 0.6232 0.6232 0.2756  3 Cd 2.83-3.05, 1 Sn 2.90